1.
VASP calculation (PBE-GGA) on a relaxed CaCeMg2Tl4 crystal.

Cell and atoms, written as CIF:
```
data_CaCeMg2Tl4
_cell_length_a 5.3017
_cell_length_b 5.3017
_cell_length_c 26.3491
_cell_angle_alpha 90.00
_cell_angle_beta 90.00
_cell_angle_gamma 120.00
_symmetry_space_group_name_H-M 'R -3 m'
_symmetry_Int_Tables_number 166
_symmetry_space_group_name_Hall '-R 3 2"'
loop_
_atom_site_label
_atom_site_fract_x
_atom_site_fract_y
_atom_site_fract_z
Ca1 0.0000 0.0000 0.0000
Ce1 0.0000 0.0000 0.5000
Mg1 0.0000 0.0000 0.2500
Tl1 0.0000 0.0000 0.1232
Tl2 0.0000 0.0000 0.3743
```

* density of states at the Fermi level: 23.9 states/eV per cell
* ΔE_f: -192.2 kJ/mol of formula units


2.
VASP calculation (PBE-GGA) on a relaxed PrGa2Ni crystal.

Cell and atoms, written as CIF:
```
data_PrGa2Ni
_cell_length_a 4.1296
_cell_length_b 4.1296
_cell_length_c 16.0453
_cell_angle_alpha 90.00
_cell_angle_beta 90.00
_cell_angle_gamma 120.00
_symmetry_space_group_name_H-M 'R -3 m'
_symmetry_Int_Tables_number 166
_symmetry_space_group_name_Hall '-R 3 2"'
loop_
_atom_site_label
_atom_site_fract_x
_atom_site_fract_y
_atom_site_fract_z
Pr1 0.0000 0.0000 0.0000
Ga1 0.0000 0.0000 0.2092
Ni1 0.0000 0.0000 0.5000
```

* density of states at the Fermi level: 5.8 states/eV per cell
* ΔE_f: -220.6 kJ/mol of formula units


3.
VASP calculation (PBE-GGA) on a relaxed La2Nd2CN2 crystal.

Cell and atoms, written as CIF:
```
data_La2Nd2CN2
_cell_length_a 3.672
_cell_length_b 6.388
_cell_length_c 7.275
_cell_angle_alpha 115.27
_cell_angle_beta 104.58
_cell_angle_gamma 90.06
_symmetry_space_group_name_H-M 'P -1'
_symmetry_Int_Tables_number 2
_symmetry_space_group_name_Hall '-P 1'
loop_
_atom_site_label
_atom_site_fract_x
_atom_site_fract_y
_atom_site_fract_z
La1 0.127 0.284 0.254
Nd1 0.362 0.183 0.724
C1 0.500 0.000 0.000
N1 0.238 0.758 0.477
```

* density of states at the Fermi level: 2.6 states/eV per cell
* formation energy without anion corrections: -0.725 eV per atom


4.
VASP calculation (PBE-GGA) on a relaxed ZrHgC2F crystal.

Cell and atoms, written as CIF:
```
data_ZrHgC2F
_cell_length_a 4.458
_cell_length_b 4.458
_cell_length_c 4.166
_cell_angle_alpha 90.00
_cell_angle_beta 90.00
_cell_angle_gamma 90.00
_symmetry_space_group_name_H-M 'P 4/m m m'
_symmetry_Int_Tables_number 123
_symmetry_space_group_name_Hall '-P 4 2'
loop_
_atom_site_label
_atom_site_fract_x
_atom_site_fract_y
_atom_site_fract_z
Zr1 0.000 0.000 0.000
Hg1 0.500 0.500 0.500
C1 0.000 0.500 0.000
F1 0.000 0.000 0.500
```

* density of states at the Fermi level: 2.9 states/eV per cell
* formation energy without anion corrections: 0.543 eV per atom


5.
VASP calculation (PBE-GGA) on a relaxed Sr3Tl2Sn crystal.

Cell and atoms, written as CIF:
```
data_Sr3Tl2Sn
_cell_length_a 4.030
_cell_length_b 4.030
_cell_length_c 12.594
_cell_angle_alpha 90.00
_cell_angle_beta 90.00
_cell_angle_gamma 90.00
_symmetry_space_group_name_H-M 'P 4/m m m'
_symmetry_Int_Tables_number 123
_symmetry_space_group_name_Hall '-P 4 2'
loop_
_atom_site_label
_atom_site_fract_x
_atom_site_fract_y
_atom_site_fract_z
Sr1 0.000 0.000 0.000
Sr2 0.000 0.000 0.334
Tl1 0.500 0.500 0.159
Sn1 0.500 0.500 0.500
```

* density of states at the Fermi level: 4.8 states/eV per cell
* ΔE_f: -276.9 kJ/mol of formula units
* relative energy among the computed polymorphs: 0.08 eV per formula unit


6.
VASP calculation (PBE-GGA) on a relaxed YFe2RhC crystal.

Cell and atoms, written as CIF:
```
data_YFe2RhC
_cell_length_a 3.949
_cell_length_b 3.949
_cell_length_c 4.229
_cell_angle_alpha 90.00
_cell_angle_beta 90.00
_cell_angle_gamma 90.00
_symmetry_space_group_name_H-M 'P 4/m m m'
_symmetry_Int_Tables_number 123
_symmetry_space_group_name_Hall '-P 4 2'
loop_
_atom_site_label
_atom_site_fract_x
_atom_site_fract_y
_atom_site_fract_z
Y1 0.000 0.000 0.000
Fe1 0.000 0.500 0.500
Rh1 0.500 0.500 0.000
C1 0.500 0.500 0.500
```

* density of states at the Fermi level: 3.7 states/eV per cell
* ΔE_f: -68.2 kJ/mol of formula units


7.
VASP calculation (PBE-GGA) on a relaxed CeTlCd2 crystal.

Cell and atoms, written as CIF:
```
data_CeTlCd2
_cell_length_a 4.646
_cell_length_b 4.646
_cell_length_c 4.908
_cell_angle_alpha 90.00
_cell_angle_beta 90.00
_cell_angle_gamma 90.00
_symmetry_space_group_name_H-M 'P 4/m m m'
_symmetry_Int_Tables_number 123
_symmetry_space_group_name_Hall '-P 4 2'
loop_
_atom_site_label
_atom_site_fract_x
_atom_site_fract_y
_atom_site_fract_z
Ce1 0.000 0.000 0.000
Tl1 0.500 0.500 0.000
Cd1 0.000 0.500 0.500
```

* density of states at the Fermi level: 9.2 states/eV per cell
* ΔE_f: -66.7 kJ/mol of formula units
* relative energy among the computed polymorphs: 0.08 eV per formula unit


8.
VASP calculation (PBE-GGA) on a relaxed ScAl3Zn crystal.

Cell and atoms, written as CIF:
```
data_ScAl3Zn
_cell_length_a 5.326
_cell_length_b 5.326
_cell_length_c 5.326
_cell_angle_alpha 90.00
_cell_angle_beta 90.00
_cell_angle_gamma 90.00
_symmetry_space_group_name_H-M 'P m -3 m'
_symmetry_Int_Tables_number 221
_symmetry_space_group_name_Hall '-P 4 2 3'
loop_
_atom_site_label
_atom_site_fract_x
_atom_site_fract_y
_atom_site_fract_z
Sc1 0.000 0.000 0.000
Al1 0.000 0.000 0.500
Zn1 0.500 0.500 0.500
```

* density of states at the Fermi level: 4.8 states/eV per cell
* ΔE_f: 502.2 kJ/mol of formula units
* relative energy among the computed polymorphs: 3.46 eV per formula unit


What is the density of states at the Fermi level in the first record?
23.9 states/eV per cell